Below is a geometry-optimized NaCd2In7 structure, with properties calculated at the GGA-PBE level.

The value obtained for the formation energy is 57 meV/atom. Its space-group type is No. 65. Its energy is -2.18 eV/atom. For the calculated volume, the calculation gives 28.8 A^3/atom.

Lattice parameters (Å, degrees): 3.2721 10.1787 10.1787 121.79 90.00 90.00
Last column: nearest neighbours and their distance in Å.
Atoms (fractional coordinates):
Cd1 0.5000 0.6777 0.3223  5 In 3.00-3.16, 2 Cd 3.27
Cd2 0.5000 0.3223 0.6777  5 In 3.00-3.16, 2 Cd 3.27
Na1 0.0000 0.0000 0.0000  10 In 3.20-3.32, 2 Na 3.27
In1 0.5000 0.5000 0.5000  6 In 3.13-3.27, 2 Cd 3.16
In2 0.0000 0.1798 0.8202  2 Cd 3.02, 1 Na 3.20, 6 In 3.21-3.27
In3 0.5000 0.6692 0.8611  1 Cd 3.00, 5 In 3.13-3.27, 2 Na 3.32
In4 0.5000 0.1389 0.3308  1 Cd 3.00, 5 In 3.13-3.27, 2 Na 3.32
In5 0.0000 0.8202 0.1798  2 Cd 3.02, 1 Na 3.20, 6 In 3.21-3.27
In6 0.5000 0.8611 0.6692  1 Cd 3.00, 5 In 3.13-3.27, 2 Na 3.32
In7 0.5000 0.3308 0.1389  1 Cd 3.00, 5 In 3.13-3.27, 2 Na 3.32